Material: Na3HOs
Method: DFT, GGA-PBEsol
State: optimized geometry

Geometry as POSCAR:
```
Na3HOs
1.0
4.507 0.000 0.000
0.000 4.507 0.000
0.000 0.000 4.507
Na H Os
3 1 1
Cartesian
0.000 0.000 2.253
0.000 2.253 0.000
2.253 0.000 0.000
0.000 0.000 0.000
2.253 2.253 2.253
```

- E_tot: -2.891 eV/atom
- Space-group type: No. 221
- Theoretical density: 4.7 g/cm³